## BaRh8 (PBE-GGA)

Data for BaRh8 after structural relaxation.

a b c (Å): 6.4148 6.4148 6.4148
angles (deg): 95.51 95.51 143.90
Last column: nearest neighbours and their distance in Å.
Atoms (fractional coordinates):
Ba  0.0000  0.0000  0.0000  12 Rh 2.98-3.01
Rh  0.0000  0.3450  0.3450  11 Rh 2.67-2.90, 1 Ba 2.98
Rh  0.0000  0.6550  0.6550  11 Rh 2.67-2.90, 1 Ba 2.98
Rh  0.3152  0.3152  0.6304  4 Rh 2.55-2.73
Rh  0.3152  0.6848  0.0000  4 Rh 2.55-2.73
Rh  0.3450  0.0000  0.3450  11 Rh 2.67-2.90, 1 Ba 2.98
Rh  0.6550  0.0000  0.6550  11 Rh 2.67-2.90, 1 Ba 2.98
Rh  0.6848  0.3152  0.0000  4 Rh 2.55-2.73
Rh  0.6848  0.6848  0.3696  4 Rh 2.55-2.73

Output
- ΔH_f (0 K) (eV per atom) = 0.31

## Ag2AsI6 (PBE-GGA)

Data for Ag2AsI6 after structural relaxation.

a b c (Å): 4.4056 7.2902 11.1663
angles (deg): 75.92 89.99 72.51
Last column: nearest neighbours and their distance in Å.
Atoms (fractional coordinates):
Ag  0.2233  0.0546  0.1492  5 I 2.90-2.99
Ag  0.7767  0.9454  0.8508  5 I 2.90-2.99
As  0.0000  0.5000  0.5000  6 I 2.84-2.98
I  0.0613  0.3761  0.2767  1 As 2.84, 1 Ag 2.94
I  0.3572  0.7872  0.4054  2 As 2.98, 1 Ag 2.99
I  0.3695  0.7580  0.0063  3 Ag 2.90-2.91
I  0.6305  0.2420  0.9937  3 Ag 2.90-2.91
I  0.6428  0.2128  0.5946  2 As 2.98, 1 Ag 2.99
I  0.9387  0.6239  0.7233  1 As 2.84, 1 Ag 2.94

Output
- formation energy without anion corrections (eV per atom) = -0.0718
- excess energy over the best structure of this formula in the dataset (eV per atom) = 0.033

## Na4Pu3PdS8 (PBE-GGA)

Data for Na4Pu3PdS8 after structural relaxation.

a b c (Å): 8.0496 8.0496 8.0496
angles (deg): 58.34 58.34 58.34
Last column: nearest neighbours and their distance in Å.
Atoms (fractional coordinates):
Na  0.0000  0.0000  0.0000  6 S 2.94
Na  0.0000  0.5000  0.5000  6 S 2.90-2.92
Na  0.5000  0.0000  0.5000  6 S 2.90-2.92
Na  0.5000  0.5000  0.0000  6 S 2.90-2.92
Pu  0.0000  0.0000  0.5000  6 S 2.71-2.73
Pu  0.0000  0.5000  0.0000  6 S 2.71-2.73
Pu  0.5000  0.0000  0.0000  6 S 2.71-2.73
Pd  0.5000  0.5000  0.5000  6 S 2.69
S  0.2430  0.2430  0.2430  3 Pu 2.73, 3 Na 2.90
S  0.2437  0.7390  0.7390  1 Pd 2.69, 2 Pu 2.71, 3 Na 2.92-2.94
S  0.2610  0.2610  0.7563  1 Pd 2.69, 2 Pu 2.71, 3 Na 2.92-2.94
S  0.2610  0.7563  0.2610  1 Pd 2.69, 2 Pu 2.71, 3 Na 2.92-2.94
S  0.7390  0.2437  0.7390  1 Pd 2.69, 2 Pu 2.71, 3 Na 2.92-2.94
S  0.7390  0.7390  0.2437  1 Pd 2.69, 2 Pu 2.71, 3 Na 2.92-2.94
S  0.7563  0.2610  0.2610  1 Pd 2.69, 2 Pu 2.71, 3 Na 2.92-2.94
S  0.7570  0.7570  0.7570  3 Pu 2.73, 3 Na 2.90

Output
- formation energy without anion corrections (eV per atom) = -1.2835

## In3I2Br4 (PBE-GGA)

Data for In3I2Br4 after structural relaxation.

a b c (Å): 8.8813 8.8813 16.9608
angles (deg): 96.06 96.06 38.42
Last column: nearest neighbours and their distance in Å.
Atoms (fractional coordinates):
In  0.0321  0.9679  0.7500  2 Br 2.96
In  0.2755  0.2767  0.5950  3 Br 2.64-2.95, 1 I 2.83
In  0.2767  0.2755  0.0950  3 Br 2.64-2.95, 1 I 2.83
In  0.7233  0.7245  0.9050  3 Br 2.64-2.95, 1 I 2.83
In  0.7245  0.7233  0.4050  3 Br 2.64-2.95, 1 I 2.83
In  0.9679  0.0321  0.2500  2 Br 2.96
I  0.4424  0.4474  0.1316  1 In 2.83
I  0.4474  0.4424  0.6316  1 In 2.83
I  0.5526  0.5576  0.3684  1 In 2.83
I  0.5576  0.5526  0.8684  1 In 2.83
Br  0.1505  0.1556  0.1794  2 In 2.64-2.96
Br  0.1556  0.1505  0.6794  2 In 2.64-2.96
Br  0.2344  0.2347  0.4302  3 In 2.80-2.96
Br  0.2347  0.2344  0.9302  3 In 2.80-2.96
Br  0.7653  0.7656  0.0698  3 In 2.80-2.96
Br  0.7656  0.7653  0.5698  3 In 2.80-2.96
Br  0.8444  0.8495  0.3206  2 In 2.64-2.96
Br  0.8495  0.8444  0.8206  2 In 2.64-2.96

Output
- formation energy without anion corrections (eV per atom) = -0.5796